Record 1
Material: LiDyAsO4
Method: DFT, PBE-GGA
State: optimized geometry

a = 6.2638 Å, b = 6.2638 Å, c = 6.2638 Å
α = 116.87°, β = 113.62°, γ = 98.47°
Sites, in units of the cell vectors:
Li (0.5000, 0.0000, 0.0000)
Li (0.5000, 0.5000, 0.5000)
Dy (0.0000, 0.0000, 0.0000)
Dy (0.5000, 0.0000, 0.5000)
As (0.1540, 0.4040, 0.7500)
As (0.8460, 0.5960, 0.2500)
O (0.1842, 0.7232, 0.4610)
O (0.2379, 0.2768, 0.9610)
O (0.2657, 0.2413, 0.4756)
O (0.2657, 0.7902, 0.0244)
O (0.7343, 0.2098, 0.9756)
O (0.7343, 0.7587, 0.5244)
O (0.7621, 0.7232, 0.0390)
O (0.8158, 0.2768, 0.5390)

Output
The volume is 13.14 A^3/atom. The calculation puts the final energy at -6.505 eV per atom. The value obtained for the uncorrected formation energy is -2.08 eV per atom.

***

Record 2
Material: TmPaN
Method: DFT, PBE-GGA
State: optimized geometry

a = 6.8014 Å, b = 6.8014 Å, c = 6.8014 Å
α = 152.88°, β = 152.88°, γ = 38.72°
Sites, in units of the cell vectors:
Tm (0.0000, 0.0000, 0.0000)
Pa (0.2832, 0.2832, 0.0000)
N (0.4488, 0.4488, 0.0000)

Output
The volume is 21.75 A^3/atom. The calculation puts the final energy at -8.054 eV per atom. The value obtained for the energy above the most stable polymorph in this dataset is 63 meV/atom. The value obtained for the uncorrected formation energy is -0.62 eV per atom.

***

Record 3
Material: Ba2Sn2Br
Method: DFT, PBE-GGA
State: optimized geometry

a = 9.2132 Å, b = 9.2132 Å, c = 5.0606 Å
α = 90.00°, β = 90.00°, γ = 90.00°
Sites, in units of the cell vectors:
Ba (0.1867, 0.3133, 0.0000)
Ba (0.3133, 0.8133, 0.0000)
Ba (0.6867, 0.1867, 0.0000)
Ba (0.8133, 0.6867, 0.0000)
Sn (0.1039, 0.6039, 0.5000)
Sn (0.3961, 0.1039, 0.5000)
Sn (0.6039, 0.8961, 0.5000)
Sn (0.8961, 0.3961, 0.5000)
Br (0.0000, 0.0000, 0.0000)
Br (0.5000, 0.5000, 0.0000)

Output
The volume is 42.96 A^3/atom. The calculation puts the final energy at -3.631 eV per atom. The value obtained for the energy above the most stable polymorph in this dataset is 128 meV/atom. The value obtained for the uncorrected formation energy is -0.93 eV per atom.

***

Record 4
Material: YMg2Cr
Method: DFT, PBE-GGA
State: optimized geometry

a = 10.5001 Å, b = 10.5001 Å, c = 10.5001 Å
α = 17.81°, β = 17.81°, γ = 17.81°
Sites, in units of the cell vectors:
Y (0.0000, 0.0000, 0.0000)
Mg (0.2414, 0.2414, 0.2414)
Mg (0.7586, 0.7586, 0.7586)
Cr (0.5000, 0.5000, 0.5000)

Output
The volume is 23.63 A^3/atom. The formation energy is 0.398 eV/atom. The calculation puts the final energy at -4.421 eV per atom.

***

Looking at density for the records above, in order, we have 5.57 10.53 4.58 3.33 g/cm³.